1.
First-principles (PBE-GGA) data for a relaxed NdSnSb crystal, as listed in Alexandria.

## Properties
The calculation puts the formation energy without anion corrections at -126 kJ/mol of formula units. For the spin magnetization, the calculation gives 0.0 Bohr magnetons per cell.

Lattice parameters (Å, degrees): 5.2466 5.2466 3.6910 90.00 90.00 120.00
Closest atoms and distances in Å follow each position.
Space group P3m1 (No. 156)
One atom of each set of equivalent atoms:
Nd 0.0000 0.0000 0.0000 x1  6 Sb 3.54-3.56, 6 Sn 3.54-3.56, 2 Nd 3.69
Sn 0.6667 0.3333 0.4958 x1  3 Sb 3.03
Sb 0.3333 0.6667 0.5050 x1  3 Sn 3.03



2.
First-principles (PBE-GGA) data for a relaxed Nd6SnSb5 crystal, as listed in Alexandria.

## Properties
The calculation puts the formation energy without anion corrections at -1250 kJ/mol of formula units. For the spin magnetization, the calculation gives 0.0 Bohr magnetons per cell.

Lattice parameters (Å, degrees): 7.8411 13.5890 7.8213 90.00 109.55 90.00
Closest atoms and distances in Å follow each position.
Space group C2/m (No. 12)
One atom of each set of equivalent atoms:
Nd 0.2484 0.0000 0.2510 x4  5 Sb 3.18-3.20, 1 Sn 3.22
Nd 0.2491 0.1677 0.7500 x8  5 Sb 3.18-3.21, 1 Sn 3.21
Sn 0.0000 0.5000 0.0000 x2  6 Nd 3.21-3.22
Sb 0.0000 0.0000 0.5000 x2  6 Nd 3.18-3.21
Sb 0.0000 0.1664 0.0000 x4  6 Nd 3.19
Sb 0.0000 0.3330 0.5000 x4  6 Nd 3.18-3.20



3.
First-principles (PBE-GGA) data for a relaxed Nd10Sn3Sb3 crystal, as listed in Alexandria.

## Properties
The calculation puts the formation energy without anion corrections at -1285 kJ/mol of formula units. For the spin magnetization, the calculation gives 0.0 Bohr magnetons per cell.

Lattice parameters (Å, degrees): 9.3339 9.3339 6.6605 90.00 90.00 120.00
Closest atoms and distances in Å follow each position.
Space group P-62m (No. 189)
One atom of each set of equivalent atoms:
Nd 0.0000 0.2450 0.0000 x3  3 Sb 3.18-3.42
Nd 0.0000 0.7551 0.5000 x3  3 Sn 3.19-3.40
Nd 0.3333 0.6667 0.2491 x4  2 Nd 3.32-3.34, 3 Sb 3.33, 3 Sn 3.33
Sn 0.0000 0.3908 0.5000 x3  7 Nd 3.19-3.40
Sb 0.0000 0.6111 0.0000 x3  7 Nd 3.18-3.42



4.
First-principles (PBE-GGA) data for a relaxed NdSnSb3 crystal, as listed in Alexandria.

## Properties
The calculation puts the formation energy without anion corrections at -205 kJ/mol of formula units. For the spin magnetization, the calculation gives 0.0 Bohr magnetons per cell.

Lattice parameters (Å, degrees): 14.5062 6.2085 6.4562 90.00 90.00 90.00
Closest atoms and distances in Å follow each position.
Space group Pbcm (No. 57)
One atom of each set of equivalent atoms:
Nd 0.1707 0.0010 0.2500 x4  8 Sb 3.18-3.35
Sn 0.3888 0.2500 0.0000 x4  2 Sn 3.23, 6 Sb 3.25-3.47
Sb 0.0006 0.2500 0.0000 x4  4 Sb 3.10-3.23, 4 Nd 3.33-3.35
Sb 0.2280 0.5058 0.2500 x4  1 Sb 3.04, 4 Nd 3.18-3.33, 2 Sn 3.25
Sb 0.3998 0.7137 0.7500 x4  3 Sb 3.04-3.26, 2 Sn 3.30



5.
First-principles (PBE-GGA) data for a relaxed NdSn2Sb2 crystal, as listed in Alexandria.

## Properties
The calculation puts the formation energy without anion corrections at -210 kJ/mol of formula units. For the spin magnetization, the calculation gives 0.0 Bohr magnetons per cell.

Lattice parameters (Å, degrees): 4.3286 30.3346 4.4809 90.00 90.00 90.00
Closest atoms and distances in Å follow each position.
Space group Cmcm (No. 63)
One atom of each set of equivalent atoms:
Nd 0.0000 0.1678 0.2500 x4  8 Sb 3.25-3.34
Sn 0.0000 0.0625 0.7500 x4  2 Sb 3.14, 4 Sn 3.21
Sn 0.0000 0.4635 0.7500 x4  6 Sn 3.15-3.21
Sb 0.0000 0.2495 0.7500 x4  4 Sb 3.12, 4 Nd 3.31-3.34
Sb 0.0000 0.3625 0.2500 x4  2 Sn 3.14, 4 Nd 3.25



6.
First-principles (PBE-GGA) data for a relaxed Nd5Sn2Sb2 crystal, as listed in Alexandria.

## Properties
The calculation puts the formation energy without anion corrections at -614 kJ/mol of formula units. For the spin magnetization, the calculation gives 0.0 Bohr magnetons per cell.

Lattice parameters (Å, degrees): 17.3701 7.9216 8.5627 90.00 90.00 90.00
Closest atoms and distances in Å follow each position.
Space group Ima2 (No. 46)
One atom of each set of equivalent atoms:
Nd 0.0612 0.2011 0.0000 x8  2 Sb 3.11-3.18, 2 Sn 3.22-3.25
Nd 0.1557 0.6588 0.1223 x8  2 Sn 3.06-3.20, 2 Sb 3.08-3.30, 1 Nd 3.28
Nd 0.2500 0.1507 0.2688 x4  2 Sb 3.19-3.20, 2 Sn 3.32
Sn 0.0815 0.5452 0.7967 x8  1 Sn 2.92, 4 Nd 3.06-3.25
Sb 0.0000 0.0000 0.7143 x4  6 Nd 3.08-3.18
Sb 0.2500 0.5152 0.4296 x4  6 Nd 3.19-3.48